Run one
The following is a PBE calculation of a geometry-optimized CaSc2Ti structure, from Alexandria via LeMat-Bulk.

Lattice parameters (Å, degrees): 7.159 7.159 7.159 120.17 120.17 89.71
Sites, in units of the cell vectors:
Ca 0.000 0.000 0.000
Ca 0.750 0.250 0.500
Sc 0.374 0.625 0.249
Sc 0.375 0.624 0.749
Sc 0.376 0.125 0.751
Sc 0.875 0.626 0.251
Ti 0.250 0.750 0.500
Ti 0.500 0.500 0.000

=====

Run two
The following is a PBE calculation of a geometry-optimized CaSc2Ti structure, from Alexandria via LeMat-Bulk.

Lattice parameters (Å, degrees): 5.231 5.231 5.231 60.00 60.00 60.00
Sites, in units of the cell vectors:
Ca 0.000 0.000 0.000
Sc 0.250 0.250 0.250
Sc 0.750 0.750 0.750
Ti 0.500 0.500 0.500

=====

Run three
The following is a PBE calculation of a geometry-optimized CaSc2Ti structure, from Alexandria via LeMat-Bulk.

Lattice parameters (Å, degrees): 11.239 11.239 11.239 16.59 16.59 16.59
Sites, in units of the cell vectors:
Ca 0.000 0.000 0.000
Sc 0.096 0.096 0.096
Sc 0.904 0.904 0.904
Ti 0.500 0.500 0.500

=====

Most stable to least stable, the ends of the list are run three and run one.

=====

Run one
The following is a PBE calculation of a geometry-optimized Ca3ScTl structure, from Alexandria via LeMat-Bulk.

Lattice parameters (Å, degrees): 5.976 5.976 5.976 90.00 90.00 90.00
Sites, in units of the cell vectors:
Ca 0.000 0.000 0.500
Ca 0.000 0.500 0.000
Ca 0.500 0.000 0.000
Sc 0.000 0.000 0.000
Tl 0.500 0.500 0.500

=====

Run two
The following is a PBE calculation of a geometry-optimized Ca3ScTl structure, from Alexandria via LeMat-Bulk.

Lattice parameters (Å, degrees): 5.917 5.917 5.917 90.00 90.00 90.00
Sites, in units of the cell vectors:
Ca 0.000 0.000 0.500
Ca 0.000 0.500 0.000
Ca 0.500 0.000 0.000
Sc 0.500 0.500 0.500
Tl 0.000 0.000 0.000

=====

Most stable to least stable, the ends of the list are run two and run one.

=====

Run one
The following is a PBE calculation of a geometry-optimized CaSc2Tl2 structure, from Alexandria via LeMat-Bulk.

Lattice parameters (Å, degrees): 8.784 8.784 3.438 90.00 90.00 90.00
Sites, in units of the cell vectors:
Ca 0.000 0.000 0.000
Ca 0.500 0.500 0.000
Sc 0.134 0.366 0.500
Sc 0.366 0.866 0.500
Sc 0.634 0.134 0.500
Sc 0.866 0.634 0.500
Tl 0.167 0.667 0.000
Tl 0.333 0.167 0.000
Tl 0.667 0.833 0.000
Tl 0.833 0.333 0.000

=====

Run two
The following is a PBE calculation of a geometry-optimized CaSc2Tl2 structure, from Alexandria via LeMat-Bulk.

Lattice parameters (Å, degrees): 7.494 7.494 7.494 144.52 144.52 51.06
Sites, in units of the cell vectors:
Ca 0.000 0.000 0.000
Sc 0.250 0.750 0.500
Sc 0.750 0.250 0.500
Tl 0.393 0.393 0.000
Tl 0.607 0.607 0.000

=====

Most stable to least stable, the ends of the list are run one and run two.

=====

Run one
The following is a PBE calculation of a geometry-optimized CaSc3Tl structure, from Alexandria via LeMat-Bulk.

Lattice parameters (Å, degrees): 5.484 5.484 5.484 90.00 90.00 90.00
Sites, in units of the cell vectors:
Ca 0.000 0.000 0.000
Sc 0.000 0.500 0.500
Sc 0.500 0.000 0.500
Sc 0.500 0.500 0.000
Tl 0.500 0.500 0.500

=====

Run two
The following is a PBE calculation of a geometry-optimized CaSc3Tl structure, from Alexandria via LeMat-Bulk.

Lattice parameters (Å, degrees): 5.241 5.241 5.241 90.00 90.00 90.00
Sites, in units of the cell vectors:
Ca 0.000 0.000 0.000
Sc 0.000 0.000 0.500
Sc 0.000 0.500 0.000
Sc 0.500 0.000 0.000
Tl 0.500 0.500 0.500

=====

Most stable to least stable, the ends of the list are run one and run two.

=====

Run one
The following is a PBE calculation of a geometry-optimized Ca2ScTl2 structure, from Alexandria via LeMat-Bulk.

Lattice parameters (Å, degrees): 9.171 9.171 3.479 90.00 90.00 90.00
Sites, in units of the cell vectors:
Ca 0.130 0.370 0.000
Ca 0.370 0.870 0.000
Ca 0.630 0.130 0.000
Ca 0.870 0.630 0.000
Sc 0.000 0.000 0.000
Sc 0.500 0.500 0.000
Tl 0.171 0.671 0.500
Tl 0.329 0.171 0.500
Tl 0.671 0.829 0.500
Tl 0.829 0.329 0.500

=====

Run two
The following is a PBE calculation of a geometry-optimized Ca2ScTl2 structure, from Alexandria via LeMat-Bulk.

Lattice parameters (Å, degrees): 8.461 8.461 4.087 90.00 90.00 90.00
Sites, in units of the cell vectors:
Ca 0.164 0.336 0.000
Ca 0.336 0.836 0.000
Ca 0.664 0.164 0.000
Ca 0.836 0.664 0.000
Sc 0.000 0.000 0.500
Sc 0.500 0.500 0.500
Tl 0.139 0.639 0.500
Tl 0.361 0.139 0.500
Tl 0.639 0.861 0.500
Tl 0.861 0.361 0.500

=====

Most stable to least stable, the ends of the list are run two and run one.

=====

Run one
The following is a PBE calculation of a geometry-optimized CaTm2Sc structure, from Alexandria via LeMat-Bulk.

Lattice parameters (Å, degrees): 5.565 5.565 5.565 60.00 60.00 60.00
Sites, in units of the cell vectors:
Ca 0.000 0.000 0.000
Tm 0.250 0.250 0.250
Tm 0.750 0.750 0.750
Sc 0.500 0.500 0.500

=====

Run two
The following is a PBE calculation of a geometry-optimized CaTm2Sc structure, from Alexandria via LeMat-Bulk.

Lattice parameters (Å, degrees): 3.795 3.795 8.819 90.00 90.00 90.00
Sites, in units of the cell vectors:
Ca 0.000 0.000 0.000
Tm 0.500 0.500 0.298
Tm 0.500 0.500 0.702
Sc 0.000 0.000 0.500

=====

Run three
The following is a PBE calculation of a geometry-optimized CaTm2Sc structure, from Alexandria via LeMat-Bulk.

Lattice parameters (Å, degrees): 4.976 4.976 4.933 90.00 90.00 90.00
Sites, in units of the cell vectors:
Ca 0.000 0.000 0.000
Tm 0.000 0.500 0.500
Tm 0.500 0.000 0.500
Sc 0.500 0.500 0.000

=====

Most stable to least stable, the ends of the list are run two and run one.

=====

Run one
The following is a PBE calculation of a geometry-optimized CaScW2 structure, from Alexandria via LeMat-Bulk.

Lattice parameters (Å, degrees): 10.343 10.343 10.343 16.56 16.56 16.56
Sites, in units of the cell vectors:
Ca 0.000 0.000 0.000
Sc 0.500 0.500 0.500
W 0.246 0.246 0.246
W 0.754 0.754 0.754

=====

Run two
The following is a PBE calculation of a geometry-optimized CaScW2 structure, from Alexandria via LeMat-Bulk.

Lattice parameters (Å, degrees): 2.810 2.810 9.985 90.00 90.00 99.25
Sites, in units of the cell vectors:
Ca 0.000 0.000 0.000
Sc 0.000 0.000 0.500
W 0.500 0.500 0.266
W 0.500 0.500 0.734

=====

Run three
The following is a PBE calculation of a geometry-optimized CaScW2 structure, from Alexandria via LeMat-Bulk.

Lattice parameters (Å, degrees): 5.717 5.717 2.802 94.25 94.25 121.14
Sites, in units of the cell vectors:
Ca 0.000 0.000 0.000
Sc 0.500 0.500 0.000
W 0.000 0.500 0.500
W 0.500 0.000 0.500

=====

Most stable to least stable, the ends of the list are run two and run one.

=====

Run one
The following is a PBE calculation of a geometry-optimized CaScW2 structure, from Alexandria via LeMat-Bulk.

Lattice parameters (Å, degrees): 4.858 4.858 6.260 90.91 90.91 33.93
Sites, in units of the cell vectors:
Ca 0.000 0.000 0.000
Sc 0.239 0.239 0.696
W 0.501 0.501 0.467
W 0.749 0.749 0.284

=====

Run two
The following is a PBE calculation of a geometry-optimized CaScW2 structure, from Alexandria via LeMat-Bulk.

Lattice parameters (Å, degrees): 2.818 4.838 6.246 90.00 100.07 90.00
Sites, in units of the cell vectors:
Ca 0.000 0.000 0.000
Sc 0.000 0.000 0.500
W 0.474 0.500 0.697
W 0.526 0.500 0.303

=====

Most stable to least stable, the ends of the list are run one and run two.